Sr2Mn2Hg | Alexandria | PBE | optimized geometry; calculated volume = 38.56 Å³ per atom; calculated formation energy = 3.36 eV per formula unit
1.0
6.173 0.000 0.000
0.000 6.173 0.000
0.000 0.000 5.061
Sr Mn Hg
2 2 1
Cartesian
0.000 3.086 0.000
3.086 0.000 0.000
0.000 0.000 2.530
3.086 3.086 2.530
0.000 0.000 0.000